P:
DFT (PBE) results for a geometry-optimized Li4CeAu2 structure.

Cell: 4.4934 4.4934 8.2469 Å, 74.19 74.19 60.00°
Closest atoms and distances in Å follow each position.
Fractional coordinates of all 7 atoms:
Au 0.7441 0.7441 0.7678  4 Li 2.65-2.66
Au 0.2559 0.2559 0.2322  4 Li 2.65-2.66
Li 0.1425 0.1425 0.5725  1 Au 2.66, 6 Li 2.78-2.83
Li 0.8575 0.8575 0.4275  1 Au 2.66, 6 Li 2.78-2.83
Li 0.4335 0.4335 0.6994  3 Au 2.65, 3 Li 2.78
Li 0.5665 0.5665 0.3006  3 Au 2.65, 3 Li 2.78
Ce 0.0000 0.0000 0.0000  6 Au 3.17, 8 Li 3.35-3.50

Total magnetization, μB/cell: 1.34

---

Q:
DFT (PBE) results for a geometry-optimized Li4CeAu2 structure.

Cell: 4.3198 7.8890 7.8890 Å, 90.00 90.00 90.00°
Closest atoms and distances in Å follow each position.
Fractional coordinates of all 14 atoms:
Li 0.0000 0.0964 0.3499  3 Au 2.66-2.68, 6 Li 2.82-2.94
Li 0.5000 0.5964 0.1501  3 Au 2.66-2.68, 6 Li 2.82-2.94
Li 0.5000 0.8499 0.4036  3 Au 2.66-2.68, 6 Li 2.82-2.94
Li 0.5000 0.1501 0.5964  3 Au 2.66-2.68, 6 Li 2.82-2.94
Li 0.0000 0.3499 0.0964  3 Au 2.66-2.68, 6 Li 2.82-2.94
Li 0.0000 0.6501 0.9036  3 Au 2.66-2.68, 6 Li 2.82-2.94
Li 0.5000 0.4036 0.8499  3 Au 2.66-2.68, 6 Li 2.82-2.94
Li 0.0000 0.9036 0.6501  3 Au 2.66-2.68, 6 Li 2.82-2.94
Au 0.5000 0.2883 0.2883  6 Li 2.66-2.68
Au 0.0000 0.7883 0.2117  6 Li 2.66-2.68
Au 0.5000 0.7117 0.7117  6 Li 2.66-2.68
Au 0.0000 0.2117 0.7883  6 Li 2.66-2.68
Ce 0.0000 0.5000 0.5000  6 Au 3.20-3.22, 4 Li 3.40
Ce 0.5000 0.0000 0.0000  6 Au 3.20-3.22, 4 Li 3.40

Total magnetization, μB/cell: 2.72

---

Stability verdict: Q, ahead by 22 meV/atom

---

P:
DFT (PBE) results for a geometry-optimized LiCeSnAu structure.

Cell: 5.0865 5.0865 5.0865 Å, 60.00 60.00 60.00°
Closest atoms and distances in Å follow each position.
Fractional coordinates of all 4 atoms:
Sn 0.5000 0.5000 0.5000  4 Ce 3.11, 4 Li 3.11
Li 0.2500 0.2500 0.2500  4 Sn 3.11, 4 Au 3.11
Ce 0.7500 0.7500 0.7500  4 Au 3.11, 4 Sn 3.11
Au 0.0000 0.0000 0.0000  4 Ce 3.11, 4 Li 3.11

Total magnetization, μB/cell: 0.60

---

Q:
DFT (PBE) results for a geometry-optimized LiCeSnAu structure.

Cell: 4.9856 4.9868 4.9839 Å, 119.98 90.00 119.99°
Closest atoms and distances in Å follow each position.
Fractional coordinates of all 4 atoms:
Au 0.3664 0.7329 0.7417  4 Sn 3.05, 4 Ce 3.05
Ce 0.6166 0.2331 0.4918  4 Li 3.05, 4 Au 3.05
Sn 0.1165 0.2330 0.9917  4 Li 3.05, 4 Au 3.05
Li 0.8668 0.7336 0.2421  4 Sn 3.05, 4 Ce 3.05

Total magnetization, μB/cell: 1.00

---

Stability verdict: P, ahead by 16 meV/atom

---

P:
DFT (PBE) results for a geometry-optimized CeLuAu structure.

Cell: 4.9842 4.9842 4.9842 Å, 60.00 60.00 60.00°
Closest atoms and distances in Å follow each position.
Fractional coordinates of all 3 atoms:
Ce 0.5000 0.5000 0.5000  4 Au 3.05
Au 0.2500 0.2500 0.2500  4 Lu 3.05, 4 Ce 3.05
Lu 0.0000 0.0000 0.0000  4 Au 3.05

Total magnetization, μB/cell: 1.15

---

Q:
DFT (PBE) results for a geometry-optimized CeLuAu structure.

Cell: 3.8140 4.9108 4.9108 Å, 120.00 90.00 90.00°
Closest atoms and distances in Å follow each position.
Fractional coordinates of all 3 atoms:
Ce 0.6433 0.6667 0.3333  6 Au 3.24-3.62, 6 Lu 3.38-3.46
Au 0.2319 0.3333 0.6667  3 Lu 2.86
Lu 0.1248 0.0000 0.0000  3 Au 2.86

Total magnetization, μB/cell: 1.00

---

Stability verdict: Q, ahead by 12 meV/atom

---

P:
DFT (PBE) results for a geometry-optimized Ce2MgAu3 structure.

Cell: 4.3603 6.4703 10.8643 Å, 90.00 101.58 90.00°
Closest atoms and distances in Å follow each position.
Fractional coordinates of all 12 atoms:
Ce 0.0261 0.2500 0.0522  8 Au 3.02-3.31
Ce 0.1645 0.7500 0.3290  6 Au 3.04-3.26
Ce 0.8355 0.2500 0.6710  6 Au 3.04-3.26
Ce 0.9739 0.7500 0.9478  8 Au 3.02-3.31
Au 0.2358 0.2500 0.4715  2 Mg 2.66
Au 0.4289 0.4630 0.8579  1 Mg 2.72, 1 Au 2.76, 2 Ce 3.02
Au 0.5711 0.9630 0.1421  1 Mg 2.72, 1 Au 2.76, 2 Ce 3.02
Au 0.5711 0.5370 0.1421  1 Mg 2.72, 1 Au 2.76, 2 Ce 3.02
Au 0.7642 0.7500 0.5285  2 Mg 2.66
Au 0.4289 0.0370 0.8579  1 Mg 2.72, 1 Au 2.76, 2 Ce 3.02
Mg 0.6642 0.2500 0.3285  4 Au 2.66-2.72
Mg 0.3358 0.7500 0.6715  4 Au 2.66-2.72

Total magnetization, μB/cell: 4.58

---

Q:
DFT (PBE) results for a geometry-optimized Ce2MgAu3 structure.

Cell: 5.0994 5.0994 12.4347 Å, 90.00 90.00 120.00°
Closest atoms and distances in Å follow each position.
Fractional coordinates of all 12 atoms:
Au 0.3333 0.6667 0.9046  1 Mg 3.02, 6 Ce 3.13-3.17
Au 0.0000 0.0000 0.7476  5 Ce 3.08-3.14, 3 Mg 3.13
Au 0.3333 0.6667 0.4258  4 Mg 2.93-3.14, 4 Ce 3.05-3.09
Au 0.0000 0.0000 0.2524  5 Ce 3.08-3.14, 3 Mg 3.13
Au 0.6667 0.3333 0.0954  1 Mg 3.02, 6 Ce 3.13-3.17
Au 0.6667 0.3333 0.5742  4 Mg 2.93-3.14, 4 Ce 3.05-3.09
Ce 0.0000 0.0000 0.0000  8 Au 3.14-3.17
Ce 0.0000 0.0000 0.5000  8 Au 3.08-3.09
Ce 0.6667 0.3333 0.8195  7 Au 3.05-3.13
Ce 0.3333 0.6667 0.1805  7 Au 3.05-3.13
Mg 0.6667 0.3333 0.3384  8 Au 2.93-3.14
Mg 0.3333 0.6667 0.6616  8 Au 2.93-3.14

Total magnetization, μB/cell: 3.97

---

Stability verdict: Q, ahead by 101 meV/atom

---

P:
DFT (PBE) results for a geometry-optimized CeMgAu3 structure.

Cell: 4.3830 4.3830 6.6214 Å, 109.33 109.33 90.00°
Closest atoms and distances in Å follow each position.
Fractional coordinates of all 5 atoms:
Ce 0.9988 0.9988 0.9976  8 Au 3.23-3.50, 4 Mg 3.51
Au 0.4219 0.4219 0.8438  1 Mg 2.54
Au 0.2652 0.7652 0.5305  2 Mg 2.64, 2 Au 2.86
Au 0.7652 0.2652 0.5305  2 Mg 2.64, 2 Au 2.86
Mg 0.6391 0.6391 0.2782  5 Au 2.54-2.64

Total magnetization, μB/cell: 1.05

---

Q:
DFT (PBE) results for a geometry-optimized CeMgAu3 structure.

Cell: 3.3194 4.7136 13.7584 Å, 90.00 96.93 90.00°
Closest atoms and distances in Å follow each position.
Fractional coordinates of all 10 atoms:
Ce 0.0775 0.2500 0.1550  12 Au 3.20-3.44, 2 Ce 3.32
Ce 0.9225 0.7500 0.8450  12 Au 3.20-3.44, 2 Ce 3.32
Mg 0.7882 0.2500 0.5764  7 Au 2.74-2.95
Mg 0.2118 0.7500 0.4236  7 Au 2.74-2.95
Au 0.4734 0.2500 0.9467  3 Au 2.77-2.80
Au 0.6880 0.2500 0.3760  5 Mg 2.74-2.95, 2 Au 2.86
Au 0.3120 0.7500 0.6240  5 Mg 2.74-2.95, 2 Au 2.86
Au 0.6290 0.7500 0.2580  3 Au 2.80-2.86, 2 Mg 2.81
Au 0.5266 0.7500 0.0533  3 Au 2.77-2.80
Au 0.3710 0.2500 0.7420  3 Au 2.80-2.86, 2 Mg 2.81

Total magnetization, μB/cell: 2.07

---

Stability verdict: Q, ahead by 156 meV/atom

---

P:
DFT (PBE) results for a geometry-optimized CeMgAu4 structure.

Cell: 5.6329 5.6329 5.6329 Å, 60.00 60.00 60.00°
Closest atoms and distances in Å follow each position.
Fractional coordinates of all 6 atoms:
Mg 0.2500 0.2500 0.2500  12 Au 3.30, 4 Ce 3.45
Au 0.6243 0.1271 0.6243  6 Au 2.80-2.83
Au 0.6243 0.6243 0.6243  6 Au 2.80-2.83
Au 0.6243 0.6243 0.1271  6 Au 2.80-2.83
Au 0.1271 0.6243 0.6243  6 Au 2.80-2.83
Ce 0.0000 0.0000 0.0000  12 Au 3.30, 4 Mg 3.45

Total magnetization, μB/cell: 0.59

---

Q:
DFT (PBE) results for a geometry-optimized CeMgAu4 structure.

Cell: 3.8361 5.1129 7.5490 Å, 101.40 75.28 67.97°
Closest atoms and distances in Å follow each position.
Fractional coordinates of all 6 atoms:
Au 0.3655 0.9776 0.2914  3 Au 2.89-2.93, 2 Mg 2.89, 3 Ce 3.11
Au 0.1803 0.4850 0.1543  5 Au 2.89-3.00, 3 Mg 2.92-3.00, 2 Ce 3.15
Au 0.8197 0.5150 0.8457  5 Au 2.89-3.00, 3 Mg 2.92-3.00, 2 Ce 3.15
Au 0.6345 0.0224 0.7086  3 Au 2.89-2.93, 2 Mg 2.89, 3 Ce 3.11
Ce 0.5000 0.5000 0.5000  10 Au 3.11-3.15
Mg 0.0000 0.0000 0.0000  10 Au 2.89-3.00

Total magnetization, μB/cell: 0.86

---

Stability verdict: Q, ahead by 96 meV/atom

---

P:
DFT (PBE) results for a geometry-optimized Ce6Au2N structure.

Cell: 6.2866 6.2878 10.6578 Å, 90.00 89.80 90.00°
Closest atoms and distances in Å follow each position.
Fractional coordinates of all 18 atoms:
Ce 0.3154 0.2410 0.4985  1 N 2.50
Ce 0.5031 0.5003 0.2217  1 N 2.36
Ce 0.8154 0.2590 0.9985  1 N 2.50
Ce 0.6846 0.7590 0.5015  1 N 2.50
Ce 0.0031 0.9997 0.7217  1 N 2.36
Ce 0.7590 0.3154 0.5018  1 N 2.50
Ce 0.7410 0.8154 0.9982  1 N 2.50
Ce 0.9969 0.0003 0.2783  1 N 2.36
Ce 0.1846 0.7410 0.0015  1 N 2.50
Ce 0.4969 0.4997 0.7783  1 N 2.36
Ce 0.2590 0.1846 0.0018  1 N 2.50
Ce 0.2410 0.6846 0.4982  1 N 2.50
Au 0.4994 0.9993 0.2500  8 Ce 3.14-3.29
Au 0.9994 0.5007 0.7500  8 Ce 3.14-3.29
Au 0.5006 0.0007 0.7500  8 Ce 3.14-3.29
Au 0.0006 0.4993 0.2500  8 Ce 3.14-3.29
N 0.5000 0.5000 0.0000  6 Ce 2.36-2.50
N 0.0000 0.0000 0.5000  6 Ce 2.36-2.50

Total magnetization, μB/cell: 7.93

---

Q:
DFT (PBE) results for a geometry-optimized Ce6Au2N structure.

Cell: 3.4156 8.4273 8.3895 Å, 120.15 90.00 90.00°
Closest atoms and distances in Å follow each position.
Fractional coordinates of all 9 atoms:
Ce 0.0000 0.9723 0.1902  2 N 2.67, 1 Ce 2.76
Ce 0.5000 0.0074 0.6301  1 N 2.91, 4 Au 3.03-3.10, 2 Ce 3.23
Ce 0.0000 0.7821 0.8098  2 N 2.67, 1 Ce 2.76
Ce 0.0000 0.2610 0.0000  2 N 2.42
Ce 0.5000 0.5450 0.0000  2 Ce 2.94, 4 Au 3.20
Ce 0.5000 0.3772 0.3699  1 N 2.91, 4 Au 3.03-3.10, 2 Ce 3.23
N 0.5000 0.0577 0.0000  6 Ce 2.42-2.67
Au 0.0000 0.3144 0.6314  8 Ce 3.03-3.36
Au 0.0000 0.6830 0.3686  8 Ce 3.03-3.36

Total magnetization, μB/cell: 1.57

---

Stability verdict: P, ahead by 65 meV/atom

---

P:
DFT (PBE) results for a geometry-optimized NaCeAu structure.

Cell: 5.0867 5.0867 8.7894 Å, 73.18 73.18 60.00°
Closest atoms and distances in Å follow each position.
Fractional coordinates of all 6 atoms:
Ce 0.3819 0.3819 0.8544  4 Au 3.00-3.01
Ce 0.6181 0.6181 0.1456  4 Au 3.00-3.01
Au 0.2608 0.2608 0.2177  4 Ce 3.00-3.01, 4 Na 3.10-3.33
Au 0.7392 0.7392 0.7823  4 Ce 3.00-3.01, 4 Na 3.10-3.33
Na 0.1360 0.1360 0.5920  4 Au 3.10-3.33, 3 Na 3.31
Na 0.8640 0.8640 0.4080  4 Au 3.10-3.33, 3 Na 3.31

Total magnetization, μB/cell: 2.76

---

Q:
DFT (PBE) results for a geometry-optimized NaCeAu structure.

Cell: 3.6449 3.6449 6.8194 Å, 105.50 105.50 90.00°
Closest atoms and distances in Å follow each position.
Fractional coordinates of all 3 atoms:
Ce 0.3012 0.3012 0.6025  4 Au 3.05
Au 0.6724 0.6724 0.3448  4 Ce 3.05, 4 Na 3.17
Na 0.0263 0.0263 0.0527  4 Au 3.17, 1 Ce 3.47

Total magnetization, μB/cell: 1.59

---

Stability verdict: P, ahead by 17 meV/atom

---

P:
DFT (PBE) results for a geometry-optimized NaCeAu3 structure.

Cell: 4.7500 6.3539 8.3836 Å, 90.00 90.00 90.00°
Closest atoms and distances in Å follow each position.
Fractional coordinates of all 10 atoms:
Na 0.2500 0.2500 0.5312  3 Au 2.93-3.03
Na 0.7500 0.7500 0.4688  3 Au 2.93-3.03
Au 0.2500 0.5170 0.2311  3 Au 2.95-2.96, 1 Na 3.03, 3 Ce 3.09-3.22
Au 0.7500 0.0170 0.7689  3 Au 2.95-2.96, 1 Na 3.03, 3 Ce 3.09-3.22
Au 0.7500 0.7500 0.1198  1 Na 2.93, 4 Au 2.95, 4 Ce 3.06-3.18
Au 0.7500 0.4830 0.7689  3 Au 2.95-2.96, 1 Na 3.03, 3 Ce 3.09-3.22
Au 0.2500 0.2500 0.8802  1 Na 2.93, 4 Au 2.95, 4 Ce 3.06-3.18
Au 0.2500 0.9830 0.2311  3 Au 2.95-2.96, 1 Na 3.03, 3 Ce 3.09-3.22
Ce 0.7500 0.2500 0.1106  10 Au 3.06-3.22
Ce 0.2500 0.7500 0.8894  10 Au 3.06-3.22

Total magnetization, μB/cell: 1.79

---

Q:
DFT (PBE) results for a geometry-optimized NaCeAu3 structure.

Cell: 3.4712 4.8394 13.9524 Å, 90.00 97.15 90.00°
Closest atoms and distances in Å follow each position.
Fractional coordinates of all 10 atoms:
Au 0.5237 0.7500 0.0473  3 Au 2.75-2.76
Au 0.3766 0.2500 0.7532  3 Au 2.76-2.80, 2 Na 3.03
Au 0.4763 0.2500 0.9527  3 Au 2.75-2.76
Au 0.6234 0.7500 0.2468  3 Au 2.76-2.80, 2 Na 3.03
Au 0.6745 0.2500 0.3490  2 Au 2.80, 1 Na 3.11
Au 0.3255 0.7500 0.6510  2 Au 2.80, 1 Na 3.11
Ce 0.9253 0.7500 0.8506  12 Au 3.23-3.30, 2 Ce 3.47
Ce 0.0747 0.2500 0.1494  12 Au 3.23-3.30, 2 Ce 3.47
Na 0.7869 0.2500 0.5739  7 Au 3.03-3.16
Na 0.2131 0.7500 0.4261  7 Au 3.03-3.16

Total magnetization, μB/cell: 2.05

---

Stability verdict: Q, ahead by 14 meV/atom

---

P:
DFT (PBE) results for a geometry-optimized CeNdAu structure.

Cell: 3.3042 3.3042 8.7842 Å, 100.84 100.84 90.00°
Closest atoms and distances in Å follow each position.
Fractional coordinates of all 3 atoms:
Ce 0.7800 0.7800 0.5600  1 Au 2.86
Au 0.9489 0.9489 0.8978  1 Ce 2.86, 1 Nd 2.92
Nd 0.1211 0.1211 0.2422  1 Au 2.92

Total magnetization, μB/cell: 1.28

---

Q:
DFT (PBE) results for a geometry-optimized CeNdAu structure.

Cell: 3.7370 4.9294 4.9294 Å, 120.00 90.00 90.00°
Closest atoms and distances in Å follow each position.
Fractional coordinates of all 3 atoms:
Ce 0.0185 0.0000 0.0000  3 Au 3.06, 3 Nd 3.14
Au 0.3201 0.3333 0.6667  3 Ce 3.06, 3 Nd 3.12
Nd 0.6613 0.6667 0.3333  3 Au 3.12, 3 Ce 3.14

Total magnetization, μB/cell: 0.45

---

R:
DFT (PBE) results for a geometry-optimized CeNdAu structure.

Cell: 3.6546 5.5284 8.7857 Å, 103.09 90.00 109.30°
Closest atoms and distances in Å follow each position.
Fractional coordinates of all 6 atoms:
Au 0.4042 0.8084 0.7601  4 Nd 3.10-3.27, 4 Ce 3.25-3.26
Au 0.5958 0.1916 0.2399  4 Nd 3.10-3.27, 4 Ce 3.25-3.26
Ce 0.8523 0.7047 0.0457  2 Ce 2.78
Ce 0.1477 0.2953 0.9543  2 Ce 2.78
Nd 0.3363 0.6726 0.3769  4 Au 3.10-3.27, 2 Ce 3.47
Nd 0.6637 0.3274 0.6231  4 Au 3.10-3.27, 2 Ce 3.47

Total magnetization, μB/cell: 0.58

---

S:
DFT (PBE) results for a geometry-optimized CeNdAu structure.

Cell: 5.1090 5.1090 5.1090 Å, 60.00 60.00 60.00°
Closest atoms and distances in Å follow each position.
Fractional coordinates of all 3 atoms:
Ce 0.5000 0.5000 0.5000  4 Au 3.13
Nd 0.0000 0.0000 0.0000  4 Au 3.13
Au 0.2500 0.2500 0.2500  4 Ce 3.13, 4 Nd 3.13

Total magnetization, μB/cell: 1.70

---

Stability verdict: R, ahead by 20 meV/atom

---

P:
DFT (PBE) results for a geometry-optimized CeNdTlAu structure.

Cell: 5.3970 5.3970 5.3970 Å, 60.00 60.00 60.00°
Closest atoms and distances in Å follow each position.
Fractional coordinates of all 4 atoms:
Tl 0.5000 0.5000 0.5000  4 Ce 3.30, 4 Nd 3.30
Ce 0.7500 0.7500 0.7500  4 Tl 3.30, 4 Au 3.30
Nd 0.2500 0.2500 0.2500  4 Au 3.30, 4 Tl 3.30
Au 0.0000 0.0000 0.0000  4 Nd 3.30, 4 Ce 3.30

Total magnetization, μB/cell: 1.48

---

Q:
DFT (PBE) results for a geometry-optimized CeNdTlAu structure.

Cell: 3.6848 3.6848 8.1269 Å, 90.00 90.00 90.00°
Closest atoms and distances in Å follow each position.
Fractional coordinates of all 4 atoms:
Tl 0.5000 0.5000 0.1073  4 Ce 3.41, 4 Nd 3.42, 4 Tl 3.68
Ce 0.0000 0.0000 0.3778  4 Au 3.21, 4 Tl 3.41
Au 0.5000 0.5000 0.6076  4 Nd 3.20, 4 Ce 3.21
Nd 0.0000 0.0000 0.8352  4 Au 3.20, 4 Tl 3.42

Total magnetization, μB/cell: 1.08

---

Stability verdict: Q, ahead by 53 meV/atom

---

P:
DFT (PBE) results for a geometry-optimized CeNpAu2 structure.

Cell: 3.8363 5.0396 5.0396 Å, 90.00 90.00 90.00°
Closest atoms and distances in Å follow each position.
Fractional coordinates of all 4 atoms:
Ce 0.5000 0.0000 0.0000  8 Au 3.17
Au 0.0000 0.5000 0.0000  4 Ce 3.17, 4 Np 3.17
Au 0.0000 0.0000 0.5000  4 Ce 3.17, 4 Np 3.17
Np 0.5000 0.5000 0.5000  8 Au 3.17

Total magnetization, μB/cell: 5.52

---

Q:
DFT (PBE) results for a geometry-optimized CeNpAu2 structure.

Cell: 3.2698 3.2698 8.6756 Å, 90.00 90.00 90.00°
Closest atoms and distances in Å follow each position.
Fractional coordinates of all 4 atoms:
Au 0.0000 0.0000 0.2520  4 Np 3.16, 4 Ce 3.18, 4 Au 3.27
Au 0.0000 0.0000 0.7480  4 Np 3.16, 4 Ce 3.18, 4 Au 3.27
Np 0.5000 0.5000 0.5000  8 Au 3.16, 4 Np 3.27
Ce 0.5000 0.5000 0.0000  8 Au 3.18, 4 Ce 3.27

Total magnetization, μB/cell: 3.29

---

Stability verdict: Q, ahead by 15 meV/atom